# SrMgPtPb

Crystalline SrMgPtPb at its relaxed geometry (PBE, OQMD via LeMat-Bulk).

Computed properties:
energy = -14.40 eV per cell
space-group type = F-43m (216)
crystal system = cubic
spin magnetization = 0.00 μB/cell

Cell: 5.171 5.171 5.171 Å, 60.00 60.00 60.00°
Atoms (fractional coordinates):
Pb (0.000, 0.000, 0.000)
Mg (0.750, 0.750, 0.750)
Sr (0.250, 0.250, 0.250)
Pt (0.500, 0.500, 0.500)